First-principles (PBE-GGA) data for YLuThMg after structural relaxation, as listed in the Alexandria database.

The space group is F-43m (No. 216) and the conventional cell measures 7.777, 7.777 and 7.777 Å, with angles of 90.00, 90.00 and 90.00 degrees. Symmetry generates all atoms from Y at (0.000, 0.000, 0.000), Lu at (0.250, 0.250, 0.250), Th at (0.000, 0.000, 0.500) and Mg at (0.250, 0.250, 0.750).

For the formation energy, the calculation gives 80 meV/atom.

First-principles (PBE-GGA) data for LuThMgZn after structural relaxation, as listed in the Alexandria database.

The space group is F-43m (No. 216) and the conventional cell measures 7.361, 7.361 and 7.361 Å, with angles of 90.00, 90.00 and 90.00 degrees. Symmetry generates all atoms from Lu at (0.000, 0.000, 0.000), Th at (0.000, 0.000, 0.500), Mg at (0.250, 0.250, 0.750) and Zn at (0.250, 0.250, 0.250).

For the formation energy, the calculation gives -80 meV/atom.

First-principles (PBE-GGA) data for LuThMgZr after structural relaxation, as listed in the Alexandria database.

The space group is F-43m (No. 216) and the conventional cell measures 7.527, 7.527 and 7.527 Å, with angles of 90.00, 90.00 and 90.00 degrees. Symmetry generates all atoms from Lu at (0.000, 0.000, 0.000), Th at (0.000, 0.000, 0.500), Mg at (0.250, 0.250, 0.250) and Zr at (0.250, 0.250, 0.750).

For the formation energy, the calculation gives 112 meV/atom.

First-principles (PBE-GGA) data for LuMg2Ti after structural relaxation, as listed in the Alexandria database.

The space group is Fm-3m (No. 225) and the conventional cell measures 7.088, 7.088 and 7.088 Å, with angles of 90.00, 90.00 and 90.00 degrees. Symmetry generates all atoms from Lu at (0.000, 0.000, 0.000), Mg at (0.250, 0.250, 0.250) and Ti at (0.000, 0.000, 0.500).

For the formation energy, the calculation gives 166 meV/atom. The energy above the most stable polymorph in this dataset is 30 meV per atom.

First-principles (PBE-GGA) data for LuMg2Ti after structural relaxation, as listed in the Alexandria database.

The space group is R-3m (No. 166, hexagonal axes) and the conventional cell measures 3.1688, 3.1688 and 31.4696 Å, with angles of 90.00, 90.00 and 120.00 degrees. Symmetry generates all atoms from Lu at (0.0000, 0.0000, 0.0000), Mg at (0.0000, 0.0000, 0.2443) and Ti at (0.0000, 0.0000, 0.5000).

For the formation energy, the calculation gives 192 meV/atom. The energy above the most stable polymorph in this dataset is 57 meV per atom.

First-principles (PBE-GGA) data for LuMg2Ti after structural relaxation, as listed in the Alexandria database.

The space group is P4/mmm (No. 123) and the conventional cell measures 4.466, 4.466 and 4.586 Å, with angles of 90.00, 90.00 and 90.00 degrees. Symmetry generates all atoms from Lu at (0.000, 0.000, 0.000), Mg at (0.000, 0.500, 0.500) and Ti at (0.500, 0.500, 0.000).

For the formation energy, the calculation gives 152 meV/atom. The energy above the most stable polymorph in this dataset is 16 meV per atom.

| no. | DFT total energy (eV per formula unit) |
| --- | --- |
| 1 | -19.68 |
| 2 | -15.13 |
| 3 | -21.64 |
| 4 | -14.94 |
| 5 | -14.84 |
| 6 | -15.00 |